Density functional theory data (PBE) for a relaxed structure of BeCo2Ni.

The space group is P4/mmm (No. 123) and the conventional cell measures 2.524, 2.524 and 6.188 Å, with angles of 90.00, 90.00 and 90.00 degrees. The asymmetric unit holds Be at (0.000, 0.000, 0.000), Co at (0.500, 0.500, 0.223) and Ni at (0.000, 0.000, 0.500).

For the total DFT energy (no corrections), the calculation gives -6.03 eV/atom. The density of states at the Fermi level comes out at 1.00 states/eV per atom. Its energy relative to the elements is -0.42 eV/f.u.

---

Density functional theory data (PBE) for a relaxed structure of BeCo2Ni.

The space group is P4mm (No. 99) and the conventional cell measures 2.526, 2.526 and 6.178 Å, with angles of 90.00, 90.00 and 90.00 degrees. The asymmetric unit holds Be at (0.000, 0.000, 0.000), Co at (0.000, 0.000, 0.492), Co at (0.500, 0.500, 0.225) and Ni at (0.500, 0.500, 0.778).

For the total DFT energy (no corrections), the calculation gives -6.10 eV/atom. The density of states at the Fermi level comes out at 0.64 states/eV per atom. Its energy relative to the elements is -0.68 eV/f.u.

---

Density functional theory data (PBE) for a relaxed structure of BeCo4Ni.

The space group is F-43m (No. 216) and the conventional cell measures 6.501, 6.501 and 6.501 Å, with angles of 90.00, 90.00 and 90.00 degrees. The asymmetric unit holds Be at (0.000, 0.000, 0.000), Co at (0.125, 0.125, 0.625) and Ni at (0.250, 0.250, 0.250).

For the total DFT energy (no corrections), the calculation gives -6.05 eV/atom. The density of states at the Fermi level comes out at 1.34 states/eV per atom. Its energy relative to the elements is 1.64 eV/f.u.

---

Density functional theory data (PBE) for a relaxed structure of Be6Co3Ni.

The space group is P2_1/m (No. 11) and the conventional cell measures 6.268, 3.673 and 7.795 Å, with angles of 90.00, 106.50 and 90.00 degrees. The asymmetric unit holds Be at (0.044, 0.250, 0.404), Be at (0.142, 0.750, 0.194), Be at (0.241, 0.250, 0.991), Be at (0.339, 0.750, 0.793), Be at (0.346, 0.250, 0.302), Be at (0.440, 0.250, 0.606), Co at (0.041, 0.750, 0.895), Co at (0.147, 0.250, 0.697), Co at (0.268, 0.750, 0.492) and Ni at (0.447, 0.750, 0.101).

For the total DFT energy (no corrections), the calculation gives -5.28 eV/atom. The density of states at the Fermi level comes out at 0.35 states/eV per atom. Its energy relative to the elements is -3.34 eV/f.u.

---

Density functional theory data (PBE) for a relaxed structure of Be3Co2Ni2.

The space group is C2/m (No. 12) and the conventional cell measures 6.336, 3.650 and 6.206 Å, with angles of 90.00, 109.81 and 90.00 degrees. The asymmetric unit holds Be at (0.000, 0.000, 0.000), Be at (0.243, 0.500, 0.232), Co at (0.132, 0.000, 0.398) and Ni at (0.120, 0.500, 0.860).

For the total DFT energy (no corrections), the calculation gives -5.43 eV/atom. The density of states at the Fermi level comes out at 0.85 states/eV per atom. Its energy relative to the elements is -1.06 eV/f.u.

---

Density functional theory data (PBE) for a relaxed structure of Be3CoNi.

The space group is Pm-3m (No. 221) and the conventional cell measures 3.823, 3.823 and 3.823 Å, with angles of 90.00, 90.00 and 90.00 degrees. The asymmetric unit holds Be at (0.000, 0.000, 0.500), Co at (0.000, 0.000, 0.000) and Ni at (0.500, 0.500, 0.500).

For the total DFT energy (no corrections), the calculation gives -4.23 eV/atom. The density of states at the Fermi level comes out at 0.59 states/eV per atom. Its energy relative to the elements is 2.90 eV/f.u.

---

Density functional theory data (PBE) for a relaxed structure of BeCoNi.

The space group is F-43m (No. 216) and the conventional cell measures 5.036, 5.036 and 5.036 Å, with angles of 90.00, 90.00 and 90.00 degrees. The asymmetric unit holds Be at (0.000, 0.000, 0.000), Co at (0.250, 0.250, 0.750) and Ni at (0.250, 0.250, 0.250).

For the total DFT energy (no corrections), the calculation gives -5.35 eV/atom. The density of states at the Fermi level comes out at 1.66 states/eV per atom. Its energy relative to the elements is 0.55 eV/f.u. For the excess energy over the best structure of this formula in the dataset, the calculation gives 1.15 eV/f.u.

---

Density functional theory data (PBE) for a relaxed structure of Be3Co2Ni.

The space group is Cmmm (No. 65) and the conventional cell measures 3.671, 11.016 and 2.599 Å, with angles of 90.00, 90.00 and 90.00 degrees. The asymmetric unit holds Be at (0.000, 0.000, 0.000), Be at (0.000, 0.331, 0.000), Co at (0.000, 0.165, 0.500) and Ni at (0.000, 0.500, 0.500).

For the total DFT energy (no corrections), the calculation gives -5.57 eV/atom. The density of states at the Fermi level comes out at 0.89 states/eV per atom. Its energy relative to the elements is -2.28 eV/f.u. For the excess energy over the best structure of this formula in the dataset, the calculation gives 0.00 eV/f.u.

---

Density functional theory data (PBE) for a relaxed structure of BeCoNi.

The space group is P3m1 (No. 156) and the conventional cell measures 3.7672, 3.7672 and 2.4025 Å, with angles of 90.00, 90.00 and 120.00 degrees. The asymmetric unit holds Be at (0.0000, 0.0000, 0.0000), Co at (0.3333, 0.6667, 0.3400) and Ni at (0.6667, 0.3333, 0.7826).

For the total DFT energy (no corrections), the calculation gives -5.63 eV/atom. The density of states at the Fermi level comes out at 1.22 states/eV per atom. Its energy relative to the elements is -0.28 eV/f.u. For the excess energy over the best structure of this formula in the dataset, the calculation gives 0.32 eV/f.u.

---

Density functional theory data (PBE) for a relaxed structure of Be2CoNi.

The space group is I-4m2 (No. 119) and the conventional cell measures 3.164, 3.164 and 7.366 Å, with angles of 90.00, 90.00 and 90.00 degrees. The asymmetric unit holds Be at (0.000, 0.000, 0.000), Be at (0.000, 0.500, 0.250), Co at (0.000, 0.500, 0.750) and Ni at (0.000, 0.000, 0.500).

For the total DFT energy (no corrections), the calculation gives -5.27 eV/atom. The density of states at the Fermi level comes out at 0.94 states/eV per atom. Its energy relative to the elements is -0.73 eV/f.u. For the excess energy over the best structure of this formula in the dataset, the calculation gives 0.95 eV/f.u.

---

Density functional theory data (PBE) for a relaxed structure of BeCo2Ni.

The space group is C2/m (No. 12) and the conventional cell measures 8.750, 2.615 and 3.897 Å, with angles of 90.00, 116.24 and 90.00 degrees. The asymmetric unit holds Be at (0.000, 0.000, 0.000), Co at (0.231, 0.500, 0.231) and Ni at (0.000, 0.500, 0.500).

For the total DFT energy (no corrections), the calculation gives -6.02 eV/atom. The density of states at the Fermi level comes out at 1.05 states/eV per atom. Its energy relative to the elements is -0.38 eV/f.u.

---

Density functional theory data (PBE) for a relaxed structure of BeCo2Ni.

The space group is Cmmm (No. 65) and the conventional cell measures 4.741, 7.062 and 2.437 Å, with angles of 90.00, 90.00 and 90.00 degrees. The asymmetric unit holds Be at (0.000, 0.000, 0.000), Co at (0.250, 0.250, 0.500) and Ni at (0.000, 0.500, 0.000).

For the total DFT energy (no corrections), the calculation gives -5.96 eV/atom. The density of states at the Fermi level comes out at 1.45 states/eV per atom. Its energy relative to the elements is -0.12 eV/f.u.

---

Density functional theory data (PBE) for a relaxed structure of BeCo2Ni.

The space group is R-3m (No. 166, hexagonal axes) and the conventional cell measures 2.4444, 2.4444 and 23.3446 Å, with angles of 90.00, 90.00 and 120.00 degrees. The asymmetric unit holds Be at (0.0000, 0.0000, 0.0000), Co at (0.0000, 0.0000, 0.2547) and Ni at (0.0000, 0.0000, 0.5000).

For the total DFT energy (no corrections), the calculation gives -5.98 eV/atom. The density of states at the Fermi level comes out at 0.71 states/eV per atom. Its energy relative to the elements is -0.21 eV/f.u.

---

Density functional theory data (PBE) for a relaxed structure of Be5Co2Ni2.

The space group is C2/m (No. 12) and the conventional cell measures 11.986, 3.492 and 4.094 Å, with angles of 90.00, 101.86 and 90.00 degrees. The asymmetric unit holds Be at (0.000, 0.000, 0.000), Be at (0.062, 0.500, 0.706), Be at (0.237, 0.000, 0.335), Co at (0.116, 0.500, 0.228) and Ni at (0.170, 0.000, 0.804).

For the total DFT energy (no corrections), the calculation gives -5.09 eV/atom. The density of states at the Fermi level comes out at 0.44 states/eV per atom. Its energy relative to the elements is -1.40 eV/f.u.